Entry 1:
Entry from the Alexandria database: crystalline LaCeHo2 at its relaxed geometry (PBE-GGA). Values from VASP.

Results
Spin magnetization   0.5 Bohr magnetons per cell
ΔE_f   0.06 eV/atom
Energy   -4.943 eV/atom

The structure in Quantum ESPRESSO input format:
```
&SYSTEM
  ibrav = 0, nat = 4, ntyp = 3
/
ATOMIC_SPECIES
La 138.91 La.upf
Ce 140.12 Ce.upf
Ho 164.93 Ho.upf
CELL_PARAMETERS angstrom
1.781 1.028 11.612
-1.781 1.028 11.612
0.000 -2.056 11.612
ATOMIC_POSITIONS angstrom
La 0.000 0.000 0.000
Ce 0.000 0.000 5.775
Ho 0.000 0.000 20.164
Ho 0.000 0.000 26.231
```


Entry 2:
Entry from the Alexandria database: crystalline CdFe2Si at its relaxed geometry (PBE-GGA). Values from VASP.

Results
Spin magnetization   4.9 Bohr magnetons per cell
Energy   -5.541 eV/atom

The structure in Quantum ESPRESSO input format:
```
&SYSTEM
  ibrav = 0, nat = 4, ntyp = 3
/
ATOMIC_SPECIES
Cd 112.41 Cd.upf
Fe 55.84 Fe.upf
Si 28.09 Si.upf
CELL_PARAMETERS angstrom
3.852 0.000 0.000
0.000 3.852 0.000
0.000 0.000 3.804
ATOMIC_POSITIONS angstrom
Cd 0.000 0.000 0.000
Fe 0.000 1.926 1.902
Fe 1.926 0.000 1.902
Si 1.926 1.926 0.000
```